[1]
Compound: Y4TlCd5
Source: Alexandria
Functional: PBE-GGA
Structure: optimized geometry

Calculated values
Formation energy (eV per atom): -0.332
Space group: No. 12

abc: 5.1794 6.5247 8.2653
angles: 104.23 108.26 90.00
Closest atoms and distances in Å follow each position.
Element x y z (fractional)
1 Y 0.3078 0.6853 0.6156  7 Cd 3.09-3.31, 1 Tl 3.18
2 Y 0.0970 0.8751 0.1941  6 Cd 3.10-3.43, 2 Tl 3.21
3 Cd 0.2923 0.1823 0.5847  7 Y 3.19-3.31, 3 Cd 3.38-3.53
4 Y 0.9030 0.1249 0.8059  6 Cd 3.10-3.43, 2 Tl 3.21
5 Y 0.6922 0.3147 0.3844  7 Cd 3.09-3.31, 1 Tl 3.18
6 Cd 0.9000 0.5974 0.8000  6 Y 3.09-3.43, 2 Cd 3.18
7 Tl 0.5000 0.0000 0.0000  6 Y 3.18-3.21, 2 Cd 3.26
8 Cd 0.7077 0.8177 0.4153  7 Y 3.19-3.31, 3 Cd 3.38-3.53
9 Cd 0.5000 0.5000 0.0000  6 Cd 3.18-3.38, 2 Tl 3.26, 2 Y 3.53
10 Cd 0.1000 0.4026 0.2000  6 Y 3.09-3.43, 2 Cd 3.18

=====

[2]
Compound: Yb2TlCd
Source: Alexandria
Functional: PBE-GGA
Structure: optimized geometry

Calculated values
Formation energy (eV per atom): -0.459
Space group: No. 139

abc: 5.3980 5.3980 5.3928
angles: 60.03 60.03 59.94
Closest atoms and distances in Å follow each position.
Element x y z (fractional)
1 Yb 0.5000 0.5000 0.5000  4 Tl 3.30, 4 Cd 3.30
2 Tl 0.7500 0.7500 0.7500  8 Yb 3.30
3 Cd 0.2500 0.2500 0.2500  8 Yb 3.30
4 Yb 0.0000 0.0000 0.0000  4 Tl 3.30, 4 Cd 3.30

=====

[3]
Compound: TlZnCd4
Source: Alexandria
Functional: PBE-GGA
Structure: optimized geometry

Calculated values
Distance to the lowest polymorph of the same formula (kJ per mole of atoms): 0.0
Formation energy (eV per atom): 0.091
Space group: No. 12

abc: 5.2380 7.5931 8.6378
angles: 116.07 107.78 90.00
Closest atoms and distances in Å follow each position.
Element x y z (fractional)
1 Tl 0.2066 0.2056 0.4113  10 Cd 3.11-3.35
2 Zn 0.7398 0.4999 0.9997  2 Zn 2.51-2.72, 2 Cd 2.76
3 Cd 0.8213 0.3218 0.6435  2 Zn 2.94, 2 Tl 3.11-3.13
4 Cd 0.3785 0.6617 0.7605  2 Zn 3.03, 4 Cd 3.16-3.38, 3 Tl 3.33-3.35
5 Cd 0.6215 0.9013 0.2395  2 Zn 3.03, 4 Cd 3.16-3.38, 3 Tl 3.33-3.35
6 Cd 0.0000 0.1833 0.0000  2 Zn 2.76, 1 Cd 2.78
7 Cd 0.0000 0.8167 0.0000  2 Zn 2.76, 1 Cd 2.78
8 Cd 0.6215 0.3383 0.2395  2 Zn 3.03, 4 Cd 3.16-3.38, 3 Tl 3.33-3.35
9 Tl 0.7934 0.7944 0.5887  10 Cd 3.11-3.35
10 Cd 0.3785 0.0987 0.7605  2 Zn 3.03, 4 Cd 3.16-3.38, 3 Tl 3.33-3.35
11 Zn 0.2602 0.5001 0.0003  2 Zn 2.51-2.72, 2 Cd 2.76
12 Cd 0.1787 0.6782 0.3565  2 Zn 2.94, 2 Tl 3.11-3.13

=====

[4]
Compound: TlZnCd3
Source: Alexandria
Functional: PBE-GGA
Structure: optimized geometry

Calculated values
Distance to the lowest polymorph of the same formula (kJ per mole of atoms): 11.6
Formation energy (eV per atom): 0.176
Space group: No. 221

abc: 5.1532 5.1532 5.1532
angles: 90.00 90.00 90.00
Closest atoms and distances in Å follow each position.
Element x y z (fractional)
1 Cd 0.0000 0.5000 0.0000  2 Zn 2.58
2 Tl 0.5000 0.5000 0.5000  12 Cd 3.64
3 Cd 0.0000 0.0000 0.5000  2 Zn 2.58
4 Cd 0.5000 0.0000 0.0000  2 Zn 2.58
5 Zn 0.0000 0.0000 0.0000  6 Cd 2.58

=====

[5]
Compound: TlZn3Cd10
Source: Alexandria
Functional: PBE-GGA
Structure: optimized geometry

Calculated values
Formation energy (eV per atom): 0.091
Space group: No. 225

abc: 9.8079 9.8079 9.8079
angles: 60.00 60.00 60.00
Closest atoms and distances in Å follow each position.
Element x y z (fractional)
1 Cd 0.1416 0.6195 0.6195  3 Zn 2.79
2 Cd 0.0000 0.0000 0.3367  2 Zn 2.74
3 Cd 0.0000 0.6633 0.3367  2 Zn 2.74
4 Zn 0.2712 0.2712 0.7288  8 Cd 2.74-2.79
5 Tl 0.2500 0.2500 0.2500  4 Cd 3.14
6 Zn 0.2712 0.7288 0.7288  8 Cd 2.74-2.79
7 Cd 0.6195 0.6195 0.6195  3 Zn 2.79
8 Zn 0.7288 0.7288 0.2712  8 Cd 2.74-2.79
9 Tl 0.7500 0.7500 0.7500  4 Cd 3.14
10 Cd 0.3367 0.6633 0.0000  2 Zn 2.74
11 Cd 0.0000 0.3367 0.0000  2 Zn 2.74
12 Cd 0.6195 0.1416 0.6195  3 Zn 2.79
13 Cd 0.3367 0.0000 0.6633  2 Zn 2.74
14 Cd 0.6633 0.0000 0.3367  2 Zn 2.74
15 Zn 0.7288 0.2712 0.2712  8 Cd 2.74-2.79
16 Cd 0.0000 0.0000 0.6633  2 Zn 2.74
17 Cd 0.3805 0.3805 0.8584  3 Zn 2.79
18 Cd 0.3367 0.0000 0.0000  2 Zn 2.74
19 Cd 0.3805 0.8584 0.3805  3 Zn 2.79
20 Cd 0.3805 0.3805 0.3805  3 Zn 2.79
21 Zn 0.2712 0.7288 0.2712  8 Cd 2.74-2.79
22 Cd 0.8584 0.3805 0.3805  3 Zn 2.79
23 Zn 0.7288 0.2712 0.7288  8 Cd 2.74-2.79
24 Cd 0.6633 0.0000 0.0000  2 Zn 2.74
25 Cd 0.6633 0.3367 0.0000  2 Zn 2.74
26 Cd 0.6195 0.6195 0.1416  3 Zn 2.79
27 Cd 0.0000 0.3367 0.6633  2 Zn 2.74
28 Cd 0.0000 0.6633 0.0000  2 Zn 2.74

=====

[6]
Compound: Tl2Zn2Cd
Source: Alexandria
Functional: PBE-GGA
Structure: optimized geometry

Calculated values
Distance to the lowest polymorph of the same formula (kJ per mole of atoms): 3.2
Formation energy (eV per atom): 0.143
Space group: No. 139

abc: 3.5724 3.5724 10.0408
angles: 79.75 79.75 90.00
Closest atoms and distances in Å follow each position.
Element x y z (fractional)
1 Tl 0.3887 0.3887 0.2227  4 Zn 3.23, 4 Cd 3.33, 4 Tl 3.57
2 Zn 0.7500 0.2500 0.5000  4 Zn 2.53
3 Zn 0.2500 0.7500 0.5000  4 Zn 2.53
4 Tl 0.6113 0.6113 0.7773  4 Zn 3.23, 4 Cd 3.33, 4 Tl 3.57
5 Cd 0.0000 0.0000 0.0000  8 Tl 3.33, 4 Cd 3.57

=====

[7]
Compound: TlZnCd3
Source: Alexandria
Functional: PBE-GGA
Structure: optimized geometry

Calculated values
Distance to the lowest polymorph of the same formula (kJ per mole of atoms): 39.9
Formation energy (eV per atom): 0.469
Space group: No. 221

abc: 5.7024 5.7024 5.7024
angles: 90.00 90.00 90.00
Closest atoms and distances in Å follow each position.
Element x y z (fractional)
1 Cd 0.5000 0.0000 0.0000  2 Tl 2.85
2 Zn 0.5000 0.5000 0.5000  12 Cd 4.03
3 Cd 0.0000 0.5000 0.0000  2 Tl 2.85
4 Tl 0.0000 0.0000 0.0000  6 Cd 2.85
5 Cd 0.0000 0.0000 0.5000  2 Tl 2.85

=====

[8]
Compound: TlZnCd
Source: Alexandria
Functional: PBE-GGA
Structure: optimized geometry

Calculated values
Distance to the lowest polymorph of the same formula (kJ per mole of atoms): 1.2
Formation energy (eV per atom): 0.126
Space group: No. 107

abc: 6.5458 6.5458 6.5458
angles: 149.67 149.67 43.43
Closest atoms and distances in Å follow each position.
Element x y z (fractional)
1 Zn 0.6546 0.6546 0.0000  4 Cd 2.91, 4 Tl 3.18
2 Tl 0.3239 0.3239 0.0000  4 Zn 3.18, 4 Cd 3.41, 4 Tl 3.43
3 Cd 0.0215 0.0215 0.0000  4 Zn 2.91

=====

[9]
Compound: TlZnCd
Source: Alexandria
Functional: PBE-GGA
Structure: optimized geometry

Calculated values
Distance to the lowest polymorph of the same formula (kJ per mole of atoms): 0.0
Formation energy (eV per atom): 0.113
Space group: No. 216

abc: 4.7351 4.7351 4.7351
angles: 60.00 60.00 60.00
Closest atoms and distances in Å follow each position.
Element x y z (fractional)
1 Cd 0.0000 0.0000 0.0000  4 Zn 2.90
2 Tl 0.5000 0.5000 0.5000  4 Zn 2.90
3 Zn 0.7500 0.7500 0.7500  4 Tl 2.90, 4 Cd 2.90

=====

[10]
Compound: Tl2ZnCd2
Source: Alexandria
Functional: PBE-GGA
Structure: optimized geometry

Calculated values
Distance to the lowest polymorph of the same formula (kJ per mole of atoms): 0.0
Formation energy (eV per atom): 0.115
Space group: No. 127

abc: 7.2603 7.2603 5.0279
angles: 90.00 90.00 90.00
Closest atoms and distances in Å follow each position.
Element x y z (fractional)
1 Tl 0.3312 0.1688 0.5000  6 Cd 3.16-3.40, 1 Tl 3.47
2 Zn 0.0000 0.0000 0.0000  4 Cd 2.78
3 Tl 0.1688 0.6688 0.5000  6 Cd 3.16-3.40, 1 Tl 3.47
4 Tl 0.8312 0.3312 0.5000  6 Cd 3.16-3.40, 1 Tl 3.47
5 Cd 0.8549 0.6451 0.0000  2 Zn 2.78, 1 Cd 2.98
6 Cd 0.3549 0.8549 0.0000  2 Zn 2.78, 1 Cd 2.98
7 Zn 0.5000 0.5000 0.0000  4 Cd 2.78
8 Cd 0.1451 0.3549 0.0000  2 Zn 2.78, 1 Cd 2.98
9 Tl 0.6688 0.8312 0.5000  6 Cd 3.16-3.40, 1 Tl 3.47
10 Cd 0.6451 0.1451 0.0000  2 Zn 2.78, 1 Cd 2.98

=====

[11]
Compound: TlZnCd
Source: Alexandria
Functional: PBE-GGA
Structure: optimized geometry

Calculated values
Distance to the lowest polymorph of the same formula (kJ per mole of atoms): 2.9
Formation energy (eV per atom): 0.143
Space group: No. 38

abc: 3.3137 3.3163 15.0861
angles: 90.00 90.00 119.97
Closest atoms and distances in Å follow each position.
Element x y z (fractional)
1 Tl 0.6086 0.2172 0.3084  3 Zn 3.12-3.13, 6 Tl 3.31-3.32, 1 Cd 3.41
2 Cd 0.6077 0.2155 0.0000  6 Zn 2.90-2.91
3 Zn 0.2732 0.5464 0.1449  3 Cd 2.90-2.91, 3 Tl 3.12-3.13
4 Tl 0.6086 0.2172 0.6916  3 Zn 3.12-3.13, 6 Tl 3.31-3.32, 1 Cd 3.41
5 Cd 0.2953 0.5906 0.5000  6 Cd 3.31-3.32, 6 Tl 3.41-3.50
6 Zn 0.2732 0.5464 0.8551  3 Cd 2.90-2.91, 3 Tl 3.12-3.13

=====

[12]
Compound: TlZnCd2
Source: Alexandria
Functional: PBE-GGA
Structure: optimized geometry

Calculated values
Distance to the lowest polymorph of the same formula (kJ per mole of atoms): 5.4
Formation energy (eV per atom): 0.131
Space group: No. 44

abc: 5.8219 5.8219 5.8219
angles: 142.17 126.73 67.18
Closest atoms and distances in Å follow each position.
Element x y z (fractional)
1 Cd 0.7581 0.2581 0.5000  4 Cd 3.15-3.50, 4 Zn 3.23, 4 Tl 3.25-3.41
2 Tl 0.4848 0.4848 0.0000  2 Zn 3.04, 6 Cd 3.24-3.25
3 Cd 0.0175 0.0175 0.0000  2 Zn 2.86, 2 Cd 3.15
4 Zn 0.2396 0.7396 0.5000  2 Cd 2.86, 2 Tl 3.04